Compound: Ca2HfRu2
Source: Alexandria via LeMat-Bulk
Functional: PBE
Structure: relaxed

- Symmetry: P4/mbm, No. 127
- Calculated formation energy: 0.019 eV/atom
- Total moment: 0.00 μB/cell
- Crystal system: tetragonal
- Electronic total energy: -6.483 eV/atom

```
10
Lattice="-5.6615 1.0823 -3.5002 1.4542 -5.2495 -3.9754 -2.4394 -2.9686 3.0277" Properties=species:S:1:pos:R:3 pbc="T T T"
Ru -0.2120 -1.7892 -1.9250
Ru -3.3860 -0.0088 -2.7367
Ru -0.8213 -4.1584 -4.7389
Ru -3.9954 -2.3781 -5.5506
Ca -1.2170 -4.8266 -1.7610
Ca -5.4297 -2.3092 -2.6868
Ca -3.8215 -5.1025 -4.1298
Ca -2.8253 -2.0334 -0.3180
Hf -2.1037 -2.0836 -3.7378
Hf 0.0000 0.0000 0.0000
```